No. 1
# Co3RhO | Alexandria via LeMat-Bulk | SCAN | single point on PBEsol structure
# Total energy   -18.539 eV per atom
# Volume   10.6 Å³/atom
# Uncorrected formation energy   -15.0 kJ/mol of atoms
data_Co3RhO
_chemical_formula_sum 'Co3 Rh1 O1'
_cell_length_a 3.756
_cell_length_b 3.756
_cell_length_c 3.756
_cell_angle_alpha 90.00
_cell_angle_beta 90.00
_cell_angle_gamma 90.00
_space_group_name_H-M_alt 'P m -3 m'
_space_group_IT_number 221
_space_group_name_Hall '-P 4 2 3'
loop_
_atom_site_label
_atom_site_fract_x
_atom_site_fract_y
_atom_site_fract_z
_atom_site_occupancy
Co1 0.000 0.000 0.500 1
Rh1 0.500 0.500 0.500 1
O1 0.000 0.000 0.000 1

No. 2
# VPd3 | Alexandria via LeMat-Bulk | SCAN | single point on PBEsol structure
# DFT formation energy   -1.125 eV/f.u.
# Total energy   -29.234 eV per atom
# Volume   14.0 Å³/atom
data_VPd3
_chemical_formula_sum 'V2 Pd6'
_cell_length_a 3.809
_cell_length_b 3.809
_cell_length_c 7.699
_cell_angle_alpha 90.00
_cell_angle_beta 90.00
_cell_angle_gamma 90.00
_space_group_name_H-M_alt 'I 4/m m m'
_space_group_IT_number 139
_space_group_name_Hall '-I 4 2'
loop_
_atom_site_label
_atom_site_fract_x
_atom_site_fract_y
_atom_site_fract_z
_atom_site_occupancy
V1 0.000 0.000 0.000 1
Pd1 0.000 0.000 0.500 1
Pd2 0.000 0.500 0.250 1

No. 3
# Mg2ZnIr | Alexandria via LeMat-Bulk | SCAN | single point on PBEsol structure
# DFT formation energy   -1.309 eV/f.u.
# Total energy   -23.968 eV per atom
# Volume   15.7 Å³/atom
data_Mg2ZnIr
_chemical_formula_sum 'Mg2 Zn1 Ir1'
_cell_length_a 2.983
_cell_length_b 3.752
_cell_length_c 5.623
_cell_angle_alpha 90.00
_cell_angle_beta 90.00
_cell_angle_gamma 90.00
_space_group_name_H-M_alt 'P m m m'
_space_group_IT_number 47
loop_
_space_group_symop_operation_xyz
'x,y,z'
'-x,-y,-z'
'-x,-y,z'
'x,y,-z'
'x,-y,-z'
'-x,y,z'
'-x,y,-z'
'x,-y,z'
loop_
_atom_site_label
_atom_site_fract_x
_atom_site_fract_y
_atom_site_fract_z
_atom_site_occupancy
Mg1 0.000 0.000 0.235 1
Zn1 0.500 0.500 0.500 1
Ir1 0.500 0.500 0.000 1

No. 4
# Zn2CoOs | Alexandria via LeMat-Bulk | SCAN | single point on PBEsol structure
# DFT formation energy   0.741 eV/f.u.
# Energy above the most stable polymorph in this dataset   71 meV per atom
# Total energy   -28.869 eV per atom
# Volume   12.7 Å³/atom
data_Zn2CoOs
_chemical_formula_sum 'Zn4 Co2 Os2'
_cell_length_a 3.640
_cell_length_b 3.640
_cell_length_c 7.688
_cell_angle_alpha 90.00
_cell_angle_beta 90.00
_cell_angle_gamma 90.00
_space_group_name_H-M_alt 'I 4/m m m'
_space_group_IT_number 139
_space_group_name_Hall '-I 4 2'
loop_
_atom_site_label
_atom_site_fract_x
_atom_site_fract_y
_atom_site_fract_z
_atom_site_occupancy
Zn1 0.000 0.500 0.250 1
Co1 0.000 0.000 0.000 1
Os1 0.000 0.000 0.500 1

No. 5
# K2LiScF6 | Alexandria via LeMat-Bulk | SCAN | single point on PBEsol structure
# Total energy   -9.033 eV per atom
# Volume   13.3 Å³/atom
# Uncorrected formation energy   -345.5 kJ/mol of atoms
data_K2LiScF6
_chemical_formula_sum 'K8 Li4 Sc4 F24'
_cell_length_a 8.111
_cell_length_b 8.111
_cell_length_c 8.111
_cell_angle_alpha 90.00
_cell_angle_beta 90.00
_cell_angle_gamma 90.00
_space_group_name_H-M_alt 'F m -3 m'
_space_group_IT_number 225
_space_group_name_Hall '-F 4 2 3'
loop_
_atom_site_label
_atom_site_fract_x
_atom_site_fract_y
_atom_site_fract_z
_atom_site_occupancy
K1 0.250 0.250 0.250 1
Li1 0.000 0.000 0.000 1
Sc1 0.000 0.000 0.500 1
F1 0.000 0.000 0.252 1

No. 6
# RbBiCl2 | Alexandria via LeMat-Bulk | SCAN | single point on PBEsol structure
# Energy above the most stable polymorph in this dataset   406 meV per atom
# Total energy   -29.573 eV per atom
# Volume   28.0 Å³/atom
# Uncorrected formation energy   -72.8 kJ/mol of atoms
data_RbBiCl2
_chemical_formula_sum 'Rb4 Bi4 Cl8'
_cell_length_a 7.655
_cell_length_b 7.655
_cell_length_c 7.655
_cell_angle_alpha 90.00
_cell_angle_beta 90.00
_cell_angle_gamma 90.00
_space_group_name_H-M_alt 'F m -3 m'
_space_group_IT_number 225
_space_group_name_Hall '-F 4 2 3'
loop_
_atom_site_label
_atom_site_fract_x
_atom_site_fract_y
_atom_site_fract_z
_atom_site_occupancy
Rb1 0.000 0.000 0.000 1
Bi1 0.000 0.000 0.500 1
Cl1 0.250 0.250 0.250 1

No. 7
# SbMoP | Alexandria via LeMat-Bulk | SCAN | single point on PBEsol structure
# Energy above the most stable polymorph in this dataset   147 meV per atom
# Total energy   -27.115 eV per atom
# Volume   19.8 Å³/atom
# Uncorrected formation energy   38.6 kJ/mol of atoms
data_SbMoP
_chemical_formula_sum 'Sb4 Mo4 P4'
_cell_length_a 6.191
_cell_length_b 6.191
_cell_length_c 6.191
_cell_angle_alpha 90.00
_cell_angle_beta 90.00
_cell_angle_gamma 90.00
_space_group_name_H-M_alt 'F -4 3 m'
_space_group_IT_number 216
_space_group_name_Hall 'F -4 2 3'
loop_
_atom_site_label
_atom_site_fract_x
_atom_site_fract_y
_atom_site_fract_z
_atom_site_occupancy
Sb1 0.000 0.000 0.000 1
Mo1 0.250 0.250 0.250 1
P1 0.000 0.000 0.500 1

No. 8
# Ba2TlPb | Alexandria via LeMat-Bulk | SCAN | single point on PBEsol structure
# DFT formation energy   -2.532 eV/f.u.
# Total energy   -57.443 eV per atom
# Volume   36.3 Å³/atom
data_Ba2TlPb
_chemical_formula_sum 'Ba2 Tl1 Pb1'
_cell_length_a 3.837
_cell_length_b 4.894
_cell_length_c 7.739
_cell_angle_alpha 90.00
_cell_angle_beta 90.00
_cell_angle_gamma 90.00
_space_group_name_H-M_alt 'P m m m'
_space_group_IT_number 47
loop_
_space_group_symop_operation_xyz
'x,y,z'
'-x,-y,-z'
'-x,-y,z'
'x,y,-z'
'x,-y,-z'
'-x,y,z'
'-x,y,-z'
'x,-y,z'
loop_
_atom_site_label
_atom_site_fract_x
_atom_site_fract_y
_atom_site_fract_z
_atom_site_occupancy
Ba1 0.000 0.000 0.245 1
Tl1 0.500 0.500 0.500 1
Pb1 0.500 0.500 0.000 1

No. 9
# BaCa2La | Alexandria via LeMat-Bulk | SCAN | single point on PBEsol structure
# DFT formation energy   0.404 eV/f.u.
# Energy above the most stable polymorph in this dataset   19 meV per atom
# Total energy   -25.395 eV per atom
# Volume   41.6 Å³/atom
data_BaCa2La
_chemical_formula_sum 'Ba3 Ca6 La3'
_cell_length_a 3.8516
_cell_length_b 3.8516
_cell_length_c 38.8846
_cell_angle_alpha 90.00
_cell_angle_beta 90.00
_cell_angle_gamma 120.00
_space_group_name_H-M_alt 'R -3 m'
_space_group_IT_number 166
_space_group_name_Hall '-R 3 2"'
loop_
_atom_site_label
_atom_site_fract_x
_atom_site_fract_y
_atom_site_fract_z
_atom_site_occupancy
Ba1 0.0000 0.0000 0.0000 1
Ca1 0.0000 0.0000 0.2456 1
La1 0.0000 0.0000 0.5000 1

No. 10
# MnAuSN2 | Alexandria via LeMat-Bulk | SCAN | single point on PBEsol structure
# Total energy   -22.479 eV per atom
# Volume   12.8 Å³/atom
# Uncorrected formation energy   62.3 kJ/mol of atoms
data_MnAuSN2
_chemical_formula_sum 'Mn1 Au1 S1 N2'
_cell_length_a 3.527
_cell_length_b 3.527
_cell_length_c 5.155
_cell_angle_alpha 90.00
_cell_angle_beta 90.00
_cell_angle_gamma 90.00
_space_group_name_H-M_alt 'P 4/m m m'
_space_group_IT_number 123
_space_group_name_Hall '-P 4 2'
loop_
_atom_site_label
_atom_site_fract_x
_atom_site_fract_y
_atom_site_fract_z
_atom_site_occupancy
Mn1 0.000 0.000 0.000 1
Au1 0.500 0.500 0.500 1
S1 0.000 0.000 0.500 1
N1 0.000 0.500 0.000 1

No. 11
# Zr2TcH2 | Alexandria via LeMat-Bulk | SCAN | single point on PBEsol structure
# Total energy   -21.252 eV per atom
# Volume   12.3 Å³/atom
data_Zr2TcH2
_chemical_formula_sum 'Zr4 Tc2 H4'
_cell_length_a 3.263
_cell_length_b 3.263
_cell_length_c 11.573
_cell_angle_alpha 90.00
_cell_angle_beta 90.00
_cell_angle_gamma 90.00
_space_group_name_H-M_alt 'I 4/m m m'
_space_group_IT_number 139
_space_group_name_Hall '-I 4 2'
loop_
_atom_site_label
_atom_site_fract_x
_atom_site_fract_y
_atom_site_fract_z
_atom_site_occupancy
Zr1 0.000 0.000 0.137 1
Tc1 0.000 0.000 0.500 1
H1 0.000 0.500 0.250 1

No. 12
# SiAgS2 | Alexandria via LeMat-Bulk | SCAN | single point on PBEsol structure
# Total energy   -14.890 eV per atom
# Volume   21.5 Å³/atom
# Uncorrected formation energy   26.0 kJ/mol of atoms
data_SiAgS2
_chemical_formula_sum 'Si3 Ag3 S6'
_cell_length_a 3.8154
_cell_length_b 3.8154
_cell_length_c 20.4902
_cell_angle_alpha 90.00
_cell_angle_beta 90.00
_cell_angle_gamma 120.00
_space_group_name_H-M_alt 'R -3 m'
_space_group_IT_number 166
_space_group_name_Hall '-R 3 2"'
loop_
_atom_site_label
_atom_site_fract_x
_atom_site_fract_y
_atom_site_fract_z
_atom_site_occupancy
Si1 0.0000 0.0000 0.0000 1
Ag1 0.0000 0.0000 0.5000 1
S1 0.0000 0.0000 0.0997 1